Here is a crystal of SrAl relaxed with PBEsol from Alexandria via LeMat-Bulk. Energies are from meta-GGA SCAN.

Electronic total energy (eV/atom): -15.246
V (Å³ per atom): 35.8
Calculated formation energy (eV/atom): -0.233
Density of states at the Fermi level (states/eV/atom): 0.541

Lattice parameters (Å, degrees): 4.4667 4.4667 16.5576 90.00 90.00 120.00
Space group P6_3/mmc (No. 194)
Inequivalent atoms, fractional coordinates:
Sr 0.3333 0.6667 0.1139
Al 0.0000 0.0000 0.2500
Al 0.3333 0.6667 0.7500

***

Here is a crystal of SrAl relaxed with PBEsol from Alexandria via LeMat-Bulk. Energies are from meta-GGA SCAN.

Electronic total energy (eV/atom): -15.137
V (Å³ per atom): 31.6
Calculated formation energy (eV/atom): -0.123
Density of states at the Fermi level (states/eV/atom): 0.382

Lattice parameters (Å, degrees): 4.3301 12.7272 6.8728 90.00 90.00 90.00
Space group Imm2 (No. 44)
Inequivalent atoms, fractional coordinates:
Sr 0.0000 0.0000 0.0000
Sr 0.0000 0.2940 0.2350
Al 0.0000 0.0000 0.4898
Al 0.0000 0.3975 0.7990

***

Here is a crystal of Sr2Al3 relaxed with PBEsol from Alexandria via LeMat-Bulk. Energies are from meta-GGA SCAN.

Electronic total energy (eV/atom): -13.775
V (Å³ per atom): 27.1
Offset from the most stable computed form (meV/atom): 0
Calculated formation energy (eV/atom): -0.214
Density of states at the Fermi level (states/eV/atom): 0.498

Lattice parameters (Å, degrees): 10.3983 16.3639 6.3646 90.00 90.00 90.00
Space group Fdd2 (No. 43)
Inequivalent atoms, fractional coordinates:
Sr 0.0811 0.2004 0.0000
Al 0.0000 0.0000 0.2414
Al 0.0790 0.1247 0.5018

***

Here is a crystal of SrTa2Al relaxed with PBEsol from Alexandria via LeMat-Bulk. Energies are from meta-GGA SCAN.

Electronic total energy (eV/atom): -40.227
V (Å³ per atom): 22.5
Calculated formation energy (eV/atom): 0.572
Density of states at the Fermi level (states/eV/atom): 1.316

Lattice parameters (Å, degrees): 3.5337 3.5337 7.2063 90.00 90.00 90.00
Space group P4/mmm (No. 123)
Inequivalent atoms, fractional coordinates:
Sr 0.0000 0.0000 0.0000
Ta 0.5000 0.5000 0.3330
Al 0.0000 0.0000 0.5000

***

Here is a crystal of SrTaAl4 relaxed with PBEsol from Alexandria via LeMat-Bulk. Energies are from meta-GGA SCAN.

Electronic total energy (eV/atom): -19.936
V (Å³ per atom): 18.6
Calculated formation energy (eV/atom): 0.042
Density of states at the Fermi level (states/eV/atom): 0.378

Lattice parameters (Å, degrees): 7.6370 7.6370 7.6370 90.00 90.00 90.00
Space group F-43m (No. 216)
Inequivalent atoms, fractional coordinates:
Sr 0.0000 0.0000 0.0000
Ta 0.2500 0.2500 0.2500
Al 0.1243 0.1243 0.6243

***

Here is a crystal of SrTaTi2Al relaxed with PBEsol from Alexandria via LeMat-Bulk. Energies are from meta-GGA SCAN.

Electronic total energy (eV/atom): -24.212
V (Å³ per atom): 24.1
Calculated formation energy (eV/atom): 1.522
Density of states at the Fermi level (states/eV/atom): 1.743

Lattice parameters (Å, degrees): 4.7739 4.7739 5.2902 90.00 90.00 90.00
Space group P4/mmm (No. 123)
Inequivalent atoms, fractional coordinates:
Sr 0.0000 0.0000 0.0000
Ta 0.5000 0.5000 0.0000
Ti 0.0000 0.5000 0.5000
Al 0.0000 0.0000 0.5000

***

Here is a crystal of Sr2AlTe relaxed with PBEsol from Alexandria via LeMat-Bulk. Energies are from meta-GGA SCAN.

Formation energy without anion corrections (eV per atom): -0.728
Electronic total energy (eV/atom): -23.117
V (Å³ per atom): 30.8
Offset from the most stable computed form (meV/atom): 0
Density of states at the Fermi level (states/eV/atom): 0.444

Lattice parameters (Å, degrees): 7.1638 8.7862 3.9134 90.00 90.00 90.00
Space group Cmmm (No. 65)
Inequivalent atoms, fractional coordinates:
Sr 0.2500 0.2500 0.0000
Al 0.0000 0.0000 0.5000
Te 0.0000 0.5000 0.5000

***

Here is a crystal of Sr2AlTe relaxed with PBEsol from Alexandria via LeMat-Bulk. Energies are from meta-GGA SCAN.

Formation energy without anion corrections (eV per atom): -0.527
Electronic total energy (eV/atom): -22.916
V (Å³ per atom): 35.5
Offset from the most stable computed form (meV/atom): 201
Density of states at the Fermi level (states/eV/atom): 0.645

Lattice parameters (Å, degrees): 8.6868 8.6868 7.5267 90.00 90.00 90.00
Space group I-42d (No. 122)
Inequivalent atoms, fractional coordinates:
Sr 0.2440 0.2500 0.1250
Al 0.0000 0.0000 0.5000
Te 0.0000 0.0000 0.0000

***

Here is a crystal of SrAl2Te4 relaxed with PBEsol from Alexandria via LeMat-Bulk. Energies are from meta-GGA SCAN.

Formation energy without anion corrections (eV per atom): -0.931
Electronic total energy (eV/atom): -27.614
V (Å³ per atom): 32.0
Density of states at the Fermi level (states/eV/atom): 0.000

Lattice parameters (Å, degrees): 8.2136 8.2136 6.6374 90.00 90.00 90.00
Space group I422 (No. 97)
Inequivalent atoms, fractional coordinates:
Sr 0.0000 0.0000 0.0000
Al 0.0000 0.5000 0.0000
Te 0.1766 0.3234 0.2500

***

Here is a crystal of SrAl2Te2 relaxed with PBEsol from Alexandria via LeMat-Bulk. Energies are from meta-GGA SCAN.

Formation energy without anion corrections (eV per atom): -0.465
Electronic total energy (eV/atom): -22.921
V (Å³ per atom): 27.2
Density of states at the Fermi level (states/eV/atom): 0.431

Lattice parameters (Å, degrees): 3.9809 3.9809 17.1532 90.00 90.00 90.00
Space group I4/mmm (No. 139)
Inequivalent atoms, fractional coordinates:
Sr 0.0000 0.0000 0.0000
Al 0.0000 0.5000 0.2500
Te 0.0000 0.0000 0.3930

***

Here is a crystal of Sr3TiAl relaxed with PBEsol from Alexandria via LeMat-Bulk. Energies are from meta-GGA SCAN.

Electronic total energy (eV/atom): -17.224
V (Å³ per atom): 40.7
Calculated formation energy (eV/atom): 0.897
Density of states at the Fermi level (states/eV/atom): 0.741

Lattice parameters (Å, degrees): 5.8833 5.8833 5.8833 90.00 90.00 90.00
Space group Pm-3m (No. 221)
Inequivalent atoms, fractional coordinates:
Sr 0.0000 0.0000 0.5000
Ti 0.0000 0.0000 0.0000
Al 0.5000 0.5000 0.5000

***

Here is a crystal of Sr2AlTl relaxed with PBEsol from Alexandria via LeMat-Bulk. Energies are from meta-GGA SCAN.

Electronic total energy (eV/atom): -31.511
V (Å³ per atom): 30.8
Calculated formation energy (eV/atom): -0.346
Density of states at the Fermi level (states/eV/atom): 0.641

Lattice parameters (Å, degrees): 3.9591 3.9591 7.8630 90.00 90.00 90.00
Space group P4/mmm (No. 123)
Inequivalent atoms, fractional coordinates:
Sr 0.0000 0.0000 0.2417
Al 0.5000 0.5000 0.0000
Tl 0.5000 0.5000 0.5000

***

Repeat the tenth record exactly.
Here is a crystal of SrAl2Te2 relaxed with PBEsol from Alexandria via LeMat-Bulk. Energies are from meta-GGA SCAN.

Formation energy without anion corrections (eV per atom): -0.465
Electronic total energy (eV/atom): -22.921
V (Å³ per atom): 27.2
Density of states at the Fermi level (states/eV/atom): 0.431

Lattice parameters (Å, degrees): 3.9809 3.9809 17.1532 90.00 90.00 90.00
Space group I4/mmm (No. 139)
Inequivalent atoms, fractional coordinates:
Sr 0.0000 0.0000 0.0000
Al 0.0000 0.5000 0.2500
Te 0.0000 0.0000 0.3930

***

> What is the density of states at the Fermi level in the third record?

0.498 states/eV/atom

***

> Which value of electronic total energy does entry 11 give?

-17.224 eV/atom